[1]
VASP calculation (GGA-PBE) on a geometry-optimized TbGdAsO structure.

## Properties
The relative energy among the computed polymorphs comes out at 37 kJ/mol of formula units.

CIF file:
```
data_TbGdAsO
_chemical_formula_sum 'Tb2 Gd2 As2 O2'
_space_group_name_H-M_alt 'P 4/n m m'
_space_group_IT_number 129
_cell_length_a 4.3333
_cell_length_b 4.3333
_cell_length_c 8.9041
_cell_angle_alpha 90.00
_cell_angle_beta 90.00
_cell_angle_gamma 90.00
loop_
_space_group_symop_operation_xyz
'x,y,z'
'-x,-y,-z'
'-y+1/2,x,z'
'y+1/2,-x,-z'
'-x+1/2,-y+1/2,z'
'x+1/2,y+1/2,-z'
'y,-x+1/2,z'
'-y,x+1/2,-z'
'x+1/2,-y,-z'
'-x+1/2,y,z'
'-y,-x,-z'
'y,x,z'
'-x,y+1/2,-z'
'x,-y+1/2,z'
'y+1/2,x+1/2,-z'
'-y+1/2,-x+1/2,z'
loop_
_atom_site_label
_atom_site_fract_x
_atom_site_fract_y
_atom_site_fract_z
Tb1 0.2500 0.2500 0.1005
Gd1 0.2500 0.7500 0.5000
As1 0.2500 0.2500 0.7092
O1 0.2500 0.7500 0.0000
```


[2]
VASP calculation (GGA-PBE) on a geometry-optimized TbGdAsO structure.

## Properties
The relative energy among the computed polymorphs comes out at 37 kJ/mol of formula units.

CIF file:
```
data_TbGdAsO
_chemical_formula_sum 'Tb2 Gd2 As2 O2'
_space_group_name_H-M_alt 'P 4/n m m'
_space_group_IT_number 129
_cell_length_a 4.3299
_cell_length_b 4.3299
_cell_length_c 8.9378
_cell_angle_alpha 90.00
_cell_angle_beta 90.00
_cell_angle_gamma 90.00
loop_
_space_group_symop_operation_xyz
'x,y,z'
'-x,-y,-z'
'-y+1/2,x,z'
'y+1/2,-x,-z'
'-x+1/2,-y+1/2,z'
'x+1/2,y+1/2,-z'
'y,-x+1/2,z'
'-y,x+1/2,-z'
'x+1/2,-y,-z'
'-x+1/2,y,z'
'-y,-x,-z'
'y,x,z'
'-x,y+1/2,-z'
'x,-y+1/2,z'
'y+1/2,x+1/2,-z'
'-y+1/2,-x+1/2,z'
loop_
_atom_site_label
_atom_site_fract_x
_atom_site_fract_y
_atom_site_fract_z
Tb1 0.2500 0.2500 0.1006
Gd1 0.2500 0.7500 0.5000
As1 0.2500 0.2500 0.7087
O1 0.2500 0.7500 0.0000
```


[3]
VASP calculation (GGA-PBE) on a geometry-optimized TbGdAsO structure.

## Properties
The relative energy among the computed polymorphs comes out at 31 kJ/mol of formula units.

CIF file:
```
data_TbGdAsO
_chemical_formula_sum 'Tb2 Gd2 As2 O2'
_space_group_name_H-M_alt 'P 4/n m m'
_space_group_IT_number 129
_cell_length_a 4.3419
_cell_length_b 4.3419
_cell_length_c 8.8919
_cell_angle_alpha 90.00
_cell_angle_beta 90.00
_cell_angle_gamma 90.00
loop_
_space_group_symop_operation_xyz
'x,y,z'
'-x,-y,-z'
'-y+1/2,x,z'
'y+1/2,-x,-z'
'-x+1/2,-y+1/2,z'
'x+1/2,y+1/2,-z'
'y,-x+1/2,z'
'-y,x+1/2,-z'
'x+1/2,-y,-z'
'-x+1/2,y,z'
'-y,-x,-z'
'y,x,z'
'-x,y+1/2,-z'
'x,-y+1/2,z'
'y+1/2,x+1/2,-z'
'-y+1/2,-x+1/2,z'
loop_
_atom_site_label
_atom_site_fract_x
_atom_site_fract_y
_atom_site_fract_z
Tb1 0.2500 0.7500 0.0000
Gd1 0.2500 0.2500 0.3972
As1 0.2500 0.2500 0.7936
O1 0.2500 0.7500 0.5000
```


[4]
VASP calculation (GGA-PBE) on a geometry-optimized TbGdZn2As2O2 structure.

CIF file:
```
data_TbGdZn2As2O2
_chemical_formula_sum 'Tb1 Gd1 Zn2 As2 O2'
_space_group_name_H-M_alt 'P 4 m m'
_space_group_IT_number 99
_space_group_name_Hall 'P 4 -2'
_cell_length_a 3.9687
_cell_length_b 3.9687
_cell_length_c 8.9174
_cell_angle_alpha 90.00
_cell_angle_beta 90.00
_cell_angle_gamma 90.00
loop_
_atom_site_label
_atom_site_fract_x
_atom_site_fract_y
_atom_site_fract_z
Tb1 0.0000 0.0000 0.0000
Gd1 0.5000 0.5000 0.2492
Zn1 0.0000 0.5000 0.6242
As1 0.0000 0.0000 0.4417
As2 0.5000 0.5000 0.8062
O1 0.0000 0.5000 0.1232
```


[5]
VASP calculation (GGA-PBE) on a geometry-optimized GdTcAsO structure.

## Properties
The relative energy among the computed polymorphs comes out at 179 kJ/mol of formula units.

CIF file:
```
data_GdTcAsO
_chemical_formula_sum 'Gd2 Tc2 As2 O2'
_space_group_name_H-M_alt 'P m c 21'
_space_group_IT_number 26
_space_group_name_Hall 'P 2c -2'
_cell_length_a 4.2964
_cell_length_b 4.3144
_cell_length_c 7.0737
_cell_angle_alpha 90.00
_cell_angle_beta 90.00
_cell_angle_gamma 90.00
loop_
_atom_site_label
_atom_site_fract_x
_atom_site_fract_y
_atom_site_fract_z
Gd1 0.0000 0.2275 0.0000
Tc1 0.5000 0.2923 0.3420
As1 0.5000 0.2116 0.6801
O1 0.0000 0.2805 0.3356
```


[6]
VASP calculation (GGA-PBE) on a geometry-optimized GdTcAsO structure.

## Properties
The relative energy among the computed polymorphs comes out at 219 kJ/mol of formula units.

CIF file:
```
data_GdTcAsO
_chemical_formula_sum 'Gd2 Tc2 As2 O2'
_space_group_name_H-M_alt 'P m c 21'
_space_group_IT_number 26
_space_group_name_Hall 'P 2c -2'
_cell_length_a 4.0951
_cell_length_b 6.2715
_cell_length_c 5.6860
_cell_angle_alpha 90.00
_cell_angle_beta 90.00
_cell_angle_gamma 90.00
loop_
_atom_site_label
_atom_site_fract_x
_atom_site_fract_y
_atom_site_fract_z
Gd1 0.0000 0.1741 0.0000
Tc1 0.5000 0.4633 0.7673
As1 0.0000 0.3181 0.5138
O1 0.5000 0.2600 0.0660
```


[7]
VASP calculation (GGA-PBE) on a geometry-optimized GdTcAsO structure.

## Properties
The relative energy among the computed polymorphs comes out at 625 kJ/mol of formula units.

CIF file:
```
data_GdTcAsO
_chemical_formula_sum 'Gd2 Tc2 As2 O2'
_space_group_name_H-M_alt 'P 4/n m m'
_space_group_IT_number 129
_cell_length_a 4.2205
_cell_length_b 4.2205
_cell_length_c 9.3080
_cell_angle_alpha 90.00
_cell_angle_beta 90.00
_cell_angle_gamma 90.00
loop_
_space_group_symop_operation_xyz
'x,y,z'
'-x,-y,-z'
'-y+1/2,x,z'
'y+1/2,-x,-z'
'-x+1/2,-y+1/2,z'
'x+1/2,y+1/2,-z'
'y,-x+1/2,z'
'-y,x+1/2,-z'
'x+1/2,-y,-z'
'-x+1/2,y,z'
'-y,-x,-z'
'y,x,z'
'-x,y+1/2,-z'
'x,-y+1/2,z'
'y+1/2,x+1/2,-z'
'-y+1/2,-x+1/2,z'
loop_
_atom_site_label
_atom_site_fract_x
_atom_site_fract_y
_atom_site_fract_z
Gd1 0.2500 0.7500 0.0000
Tc1 0.2500 0.2500 0.4705
As1 0.2500 0.2500 0.2169
O1 0.2500 0.7500 0.5000
```


[8]
VASP calculation (GGA-PBE) on a geometry-optimized GdTcAsO structure.

## Properties
The relative energy among the computed polymorphs comes out at 0 kJ/mol of formula units.

CIF file:
```
data_GdTcAsO
_chemical_formula_sum 'Gd2 Tc2 As2 O2'
_space_group_name_H-M_alt 'P 4/n m m'
_space_group_IT_number 129
_cell_length_a 3.9666
_cell_length_b 3.9666
_cell_length_c 8.5998
_cell_angle_alpha 90.00
_cell_angle_beta 90.00
_cell_angle_gamma 90.00
loop_
_space_group_symop_operation_xyz
'x,y,z'
'-x,-y,-z'
'-y+1/2,x,z'
'y+1/2,-x,-z'
'-x+1/2,-y+1/2,z'
'x+1/2,y+1/2,-z'
'y,-x+1/2,z'
'-y,x+1/2,-z'
'x+1/2,-y,-z'
'-x+1/2,y,z'
'-y,-x,-z'
'y,x,z'
'-x,y+1/2,-z'
'x,-y+1/2,z'
'y+1/2,x+1/2,-z'
'-y+1/2,-x+1/2,z'
loop_
_atom_site_label
_atom_site_fract_x
_atom_site_fract_y
_atom_site_fract_z
Gd1 0.2500 0.2500 0.1303
Tc1 0.2500 0.7500 0.5000
As1 0.2500 0.2500 0.6776
O1 0.2500 0.7500 0.0000
```


no.,VASP energy (eV/atom)
1,-6.593
2,-6.593
3,-6.609
4,-5.710
5,-7.474
6,-7.370
7,-6.319
8,-7.938